No. 1
The following is a GGA-PBE calculation of a relaxed LiMg3Pt3 crystal, from the Alexandria database.

Unit cell a=6.371 b=6.371 c=5.923 alpha=90.00 beta=90.00 gamma=90.60
Element x y z (fractional)
1 Li 0.248 0.752 0.000
2 Li 0.752 0.248 0.000
3 Mg 0.248 0.752 0.500
4 Mg 0.250 0.250 0.500
5 Mg 0.260 0.260 0.000
6 Mg 0.740 0.740 0.000
7 Mg 0.750 0.750 0.500
8 Mg 0.752 0.248 0.500
9 Pt 0.000 0.000 0.241
10 Pt 0.000 0.000 0.759
11 Pt 0.000 0.500 0.245
12 Pt 0.000 0.500 0.755
13 Pt 0.500 0.000 0.245
14 Pt 0.500 0.000 0.755

Its crystal system is orthorhombic. As for the calculated volume: 17.17 Å³/atom. For the density of states at the Fermi level, the calculation gives 5.594 states/eV per cell. The calculation puts the formation energy from the elements at -0.698 eV per atom.

***

No. 2
The following is a GGA-PBE calculation of a relaxed K3Tl5Bi2 crystal, from the Alexandria database.

Unit cell a=10.895 b=10.895 c=7.446 alpha=109.75 beta=109.75 gamma=78.85
Element x y z (fractional)
1 K 0.002 0.998 0.750
2 K 0.129 0.616 0.873
3 K 0.384 0.871 0.627
4 K 0.616 0.129 0.373
5 K 0.871 0.384 0.127
6 K 0.998 0.002 0.250
7 Tl 0.245 0.511 0.378
8 Tl 0.254 0.254 0.005
9 Tl 0.254 0.254 0.505
10 Tl 0.489 0.755 0.122
11 Tl 0.499 0.501 0.750
12 Tl 0.501 0.499 0.250
13 Tl 0.511 0.245 0.878
14 Tl 0.746 0.746 0.495
15 Tl 0.746 0.746 0.995
16 Tl 0.755 0.489 0.622
17 Bi 0.007 0.707 0.355
18 Bi 0.293 0.993 0.145
19 Bi 0.707 0.007 0.855
20 Bi 0.993 0.293 0.645

Its crystal system is monoclinic. As for the calculated volume: 38.99 Å³/atom. Its excess energy over the best structure of this formula in the dataset is 25 meV/atom. For the density of states at the Fermi level, the calculation gives 8.542 states/eV per cell. The calculation puts the formation energy from the elements at -0.148 eV per atom.

***

No. 3
The following is a GGA-PBE calculation of a relaxed LiPmHgPb crystal, from the Alexandria database.

Unit cell a=5.243 b=5.243 c=5.243 alpha=60.00 beta=60.00 gamma=60.00
Element x y z (fractional)
1 Li 0.000 0.000 0.000
2 Pm 0.500 0.500 0.500
3 Hg 0.750 0.750 0.750
4 Pb 0.250 0.250 0.250

Its crystal system is cubic. As for the calculated volume: 25.48 Å³/atom. For the density of states at the Fermi level, the calculation gives 1.576 states/eV per cell. The calculation puts the formation energy from the elements at -0.456 eV per atom.